Entry 1:
## BaTl2Hg2Sb2 (GGA-PBE)

Data for a geometry-optimized BaTl2Hg2Sb2 structure.

The structure in extended XYZ format:
```
7
Lattice="2.521 1.456 10.721 -2.521 1.456 10.721 0.000 -2.911 10.721" Properties=species:S:1:pos:R:3 pbc="T T T"
Ba 0.000 0.000 0.000
Tl 0.000 0.000 4.393
Tl 0.000 0.000 27.769
Hg 0.000 0.000 12.619
Hg 0.000 0.000 19.543
Sb 0.000 0.000 8.111
Sb 0.000 0.000 24.051
```

Calculated values
The raw formation energy is -281 meV per atom. Its crystal system is trigonal. As for the space-group type: No. 166.

Entry 2:
## TbPuIr (GGA-PBE)

Data for a geometry-optimized TbPuIr structure.

The structure in extended XYZ format:
```
6
Lattice="5.428 -1.980 0.000 5.428 1.980 0.000 -4.524 0.000 6.823" Properties=species:S:1:pos:R:3 pbc="T T T"
Tb -0.774 0.000 2.518
Tb 7.106 0.000 4.306
Pu -0.594 0.000 6.312
Pu 6.926 0.000 0.511
Ir 2.313 0.000 2.230
Ir 4.019 0.000 4.593
```

Calculated values
Its formation energy from the elements is -11.68 kcal/mol of atoms. As for the energy above the most stable polymorph in this dataset: 0.14 eV per formula unit. Its crystal system is monoclinic. As for the space-group type: No. 12.

Entry 3:
## HoPdAu (GGA-PBE)

Data for a geometry-optimized HoPdAu structure.

The structure in extended XYZ format:
```
6
Lattice="-2.109 2.831 5.222 2.109 -2.831 5.222 2.109 2.831 -5.222" Properties=species:S:1:pos:R:3 pbc="T T T"
Ho 0.000 0.000 1.949
Ho 0.000 0.000 8.494
Pd 2.109 0.000 3.857
Pd 0.000 2.831 1.364
Au 2.109 1.392 0.000
Au 0.000 1.439 5.222
```

Calculated values
Its formation energy from the elements is -17.73 kcal/mol of atoms. As for the energy above the most stable polymorph in this dataset: 0.29 eV per formula unit. Its crystal system is orthorhombic. As for the space-group type: No. 71.

Entry 4:
## Ac2CS2N2 (GGA-PBE)

Data for a geometry-optimized Ac2CS2N2 structure.

The structure in extended XYZ format:
```
7
Lattice="4.803 -2.234 0.000 4.803 2.234 0.000 -1.000 0.000 7.300" Properties=species:S:1:pos:R:3 pbc="T T T"
Ac 1.485 0.000 1.812
Ac 7.121 0.000 5.488
C 4.303 0.000 3.650
S 0.432 0.000 6.132
S 8.174 0.000 1.168
N 3.129 0.000 4.044
N 5.478 0.000 3.257
```

Calculated values
The raw formation energy is -1483 meV per atom. Its crystal system is monoclinic. As for the space-group type: No. 12.

Entry 5:
## SbTeAu2 (GGA-PBE)

Data for a geometry-optimized SbTeAu2 structure.

The structure in extended XYZ format:
```
4
Lattice="3.094 -4.036 0.000 3.094 4.036 0.000 -3.043 0.000 4.004" Properties=species:S:1:pos:R:3 pbc="T T T"
Sb 0.000 0.000 0.000
Te 3.094 0.000 0.000
Au 0.025 2.018 2.002
Au 0.025 -2.018 2.002
```

Calculated values
The raw formation energy is -5 meV per atom. As for the energy above the most stable polymorph in this dataset: 0.13 eV per formula unit. Its crystal system is monoclinic. As for the space-group type: No. 12.

Entry 6:
## Ca2TlIn2 (GGA-PBE)

Data for a geometry-optimized Ca2TlIn2 structure.

The structure in extended XYZ format:
```
10
Lattice="8.932 0.000 0.000 0.000 8.932 0.000 0.000 0.000 3.898" Properties=species:S:1:pos:R:3 pbc="T T T"
Ca 1.524 2.942 0.000
Ca 2.942 7.408 0.000
Ca 5.991 1.524 0.000
Ca 7.408 5.991 0.000
Tl 0.000 0.000 0.000
Tl 4.466 4.466 0.000
In 1.127 5.593 1.949
In 3.339 1.127 1.949
In 5.593 7.805 1.949
In 7.805 3.339 1.949
```

Calculated values
Its formation energy from the elements is -5.51 kcal/mol of atoms. As for the energy above the most stable polymorph in this dataset: 0.60 eV per formula unit. Its crystal system is tetragonal. As for the space-group type: No. 127.

Size of the total moment values, unit μB/f.u., following the record order: 0.00, 5.90, 0.00, 0.00, 0.00, 0.00.